The following is a PBE calculation of Ga2AgTeSe6 after structural relaxation, from the Alexandria database.

Computed properties:
Spin magnetization, μB per formula unit: 0.00
Density of states at the Fermi level, states/eV/f.u.: 5.38
Energy, eV/atom: -3.506
Formation energy (no corrections), eV/atom: -0.2110

Cell lengths 12.9205, 11.5229, 7.1885 Å; angles 90.00, 101.64, 90.00 degrees
Closest atoms and distances in Å follow each position.
Space group C2/c (No. 15)
Asymmetric unit:
Ga1 0.1927 0.0913 0.2400  4 Se 2.42-2.53
Ag1 0.0000 0.4025 0.2500  6 Se 2.71-2.82
Te1 0.0000 0.2418 0.7500  4 Se 2.66-2.85
Se1 0.1103 0.4111 0.6312  1 Ga 2.53, 1 Te 2.66, 2 Ag 2.80-2.82
Se2 0.1368 0.0781 0.5466  2 Ga 2.42-2.46
Se3 0.1431 0.2801 0.1017  1 Ga 2.42, 1 Ag 2.71